# 1
A plane-wave DFT calculation with PBE was carried out for a geometry-optimized Na2Pr3HoS6 structure.

Values from the calculation:
Formation energy (no corrections) ... -2148 kJ/mol of formula units

Unit cell a=7.0347 b=7.0347 c=7.0086 alpha=99.59 beta=99.59 gamma=119.94
Positions (direct):
Na 0.3344 0.6656 0.0000
Na 0.6656 0.3344 0.0000
Pr 0.1709 0.8291 0.5000
Pr 0.8291 0.1709 0.5000
Pr 0.5000 0.5000 0.5000
Ho 0.0000 0.0000 0.0000
S 0.9195 0.5966 0.7591
S 0.7604 0.7604 0.2471
S 0.0805 0.4034 0.2409
S 0.5966 0.9195 0.7591
S 0.2396 0.2396 0.7529
S 0.4034 0.0805 0.2409

***

# 2
A plane-wave DFT calculation with PBE was carried out for a geometry-optimized PaSnRh2 structure.

Values from the calculation:
Energy of formation from the pure elements ... -0.45 eV/atom

Unit cell a=3.9657 b=3.9655 c=10.8240 alpha=93.82 beta=93.82 gamma=88.38
Positions (direct):
Pa 0.3084 0.3084 0.8446
Pa 0.6916 0.6916 0.1554
Sn 0.2240 0.2240 0.3421
Sn 0.7760 0.7760 0.6579
Rh 0.8112 0.8112 0.9055
Rh 0.7513 0.2487 0.5000
Rh 0.1888 0.1888 0.0945
Rh 0.2487 0.7513 0.5000

***

# 3
A plane-wave DFT calculation with PBE was carried out for a geometry-optimized Rb2TlSn3O8 structure.

Values from the calculation:
Formation energy (no corrections) ... -1945 kJ/mol of formula units

Unit cell a=6.5747 b=6.5747 c=7.8856 alpha=65.36 beta=65.36 gamma=60.00
Positions (direct):
Rb 0.1321 0.1321 0.6036
Rb 0.4932 0.4932 0.5204
Tl 0.9192 0.9192 0.2424
Sn 0.4962 0.0030 0.0046
Sn 0.0030 0.4962 0.0046
Sn 0.4962 0.4962 0.0046
O 0.2743 0.2743 0.1770
O 0.7161 0.7161 0.8517
O 0.2254 0.2254 0.8617
O 0.6876 0.2254 0.8617
O 0.2254 0.6876 0.8617
O 0.7507 0.3227 0.1759
O 0.3227 0.7507 0.1759
O 0.7507 0.7507 0.1759

***

# 4
A plane-wave DFT calculation with PBE was carried out for a geometry-optimized PrPaRu2 structure.

Values from the calculation:
Energy of formation from the pure elements ... -0.37 eV/atom

Unit cell a=5.7002 b=6.0251 c=11.1764 alpha=106.24 beta=90.00 gamma=90.00
Positions (direct):
Pr 0.3133 0.0454 0.3567
Pr 0.6867 0.9546 0.6433
Pr 0.3133 0.4546 0.1433
Pr 0.6867 0.5454 0.8567
Pa 0.1757 0.4973 0.6295
Pa 0.8243 0.5027 0.3705
Pa 0.1757 0.0027 0.8705
Pa 0.8243 0.9973 0.1295
Ru 0.6969 0.1019 0.9496
Ru 0.3031 0.8981 0.0504
Ru 0.6969 0.3981 0.5504
Ru 0.3031 0.6019 0.4496
Ru 0.8155 0.5174 0.1575
Ru 0.1845 0.4826 0.8425
Ru 0.8155 0.9826 0.3425
Ru 0.1845 0.0174 0.6575

***

# 5
A plane-wave DFT calculation with PBE was carried out for a geometry-optimized ErSi2F8 structure.

Values from the calculation:
Formation energy (no corrections) ... -3068 kJ/mol of formula units

Unit cell a=5.3038 b=6.5875 c=6.5875 alpha=43.31 beta=90.46 gamma=90.46
Positions (direct):
Er 0.0000 0.0000 0.0000
Si 0.6025 0.7979 0.7979
Si 0.3975 0.2021 0.2021
F 0.2507 0.3483 0.8704
F 0.7493 0.1296 0.6517
F 0.3247 0.8962 0.8962
F 0.6753 0.1038 0.1038
F 0.2507 0.8704 0.3483
F 0.7493 0.6517 0.1296
F 0.8471 0.7143 0.7143
F 0.1529 0.2857 0.2857

***

# 6
A plane-wave DFT calculation with PBE was carried out for a geometry-optimized LaPm5S8 structure.

Values from the calculation:
Formation energy (no corrections) ... -2765 kJ/mol of formula units

Unit cell a=7.4190 b=7.4190 c=7.4190 alpha=109.69 beta=109.03 gamma=109.69
Positions (direct):
La 0.2500 0.5000 0.7500
Pm 0.9899 0.3645 0.1246
Pm 0.8754 0.8654 0.2400
Pm 0.7600 0.6355 0.6254
Pm 0.5000 0.0000 0.5000
Pm 0.3746 0.1346 0.0101
S 0.1227 0.7498 0.0235
S 0.9765 0.0993 0.7263
S 0.7680 0.2481 0.3732
S 0.6268 0.3948 0.8749
S 0.4801 0.6052 0.2320
S 0.6271 0.9007 0.8773
S 0.2737 0.2502 0.3729
S 0.1251 0.7519 0.5199

***

# 7
A plane-wave DFT calculation with PBE was carried out for a geometry-optimized Tl2AgSb structure.

Values from the calculation:
Formation energy (no corrections) ... 2 kJ/mol of formula units
Distance to the lowest polymorph of the same formula ... 0.000 kcal/mol of atoms

Unit cell a=4.7761 b=4.7746 c=6.9262 alpha=69.92 beta=69.83 gamma=59.99
Positions (direct):
Tl 0.9077 0.6697 0.5149
Tl 0.6949 0.4584 0.1519
Ag 0.1418 0.9047 0.8118
Sb 0.4660 0.2291 0.8389

***

# 8
A plane-wave DFT calculation with PBE was carried out for a geometry-optimized NiMoW2 structure.

Values from the calculation:
Energy of formation from the pure elements ... 0.19 eV/atom
Distance to the lowest polymorph of the same formula ... 3.046 kcal/mol of atoms

Unit cell a=4.6642 b=4.6642 c=4.6642 alpha=129.05 beta=129.05 gamma=74.93
Positions (direct):
Mo 0.2500 0.7500 0.5000
Ni 0.7500 0.2500 0.5000
W 0.0000 0.0000 0.0000
W 0.5000 0.5000 0.0000